The following is a DFT calculation (GGA-PBE) of crystalline KSr2ZnCu at its relaxed geometry.

Cell and atoms, written as extended XYZ:
```
5
Lattice="-0.4510 -4.7396 3.8884 0.5864 -3.9144 -4.7032 4.8802 0.0207 0.5912" Properties=species:S:1:pos:R:3 pbc="T T T"
Sr -0.2255 -2.3698 1.9442
Sr 0.2932 -1.9572 -2.3516
Cu 0.0000 0.0000 0.0000
Zn 2.4401 0.0103 0.2956
K 2.5078 -4.3167 -0.1118
```

Uncorrected energy = -1.8730 eV/atom
Formation enthalpy at 0 K = 0.466 eV per formula unit

The following is a DFT calculation (GGA-PBE) of crystalline GaFeH4 at its relaxed geometry.

Cell and atoms, written as extended XYZ:
```
12
Lattice="4.8798 1.5607 -0.0001 3.3570 3.8702 -0.0001 0.0001 0.0000 7.2431" Properties=species:S:1:pos:R:3 pbc="T T T"
Fe 4.6485 3.3412 1.8107
Fe 3.3345 2.4748 5.4323
H 5.6559 4.0052 2.7229
H 2.3273 1.8106 4.5201
H 1.2604 1.1073 1.8116
H 5.6549 4.0046 0.8969
H 6.7226 4.7087 5.4314
H 4.6396 3.3351 5.4323
H 2.3282 1.8112 6.3461
H 3.3436 2.4806 1.8106
Ga 4.7529 1.7531 0.0000
Ga 4.7529 1.7532 3.6215
```

Uncorrected energy = -4.0645 eV/atom

The following is a DFT calculation (GGA-PBE) of crystalline LaMgPt2 at its relaxed geometry.

Cell and atoms, written as extended XYZ:
```
8
Lattice="-1.5024 4.4806 1.4160 0.2107 -1.4209 4.7196 7.3151 4.0699 3.4772" Properties=species:S:1:pos:R:3 pbc="T T T"
Pt 1.1131 3.0527 2.1586
Pt 4.3285 5.9160 7.3577
Pt 1.5756 1.2770 4.1817
Pt 5.0296 4.0135 5.5276
Mg -0.6459 1.5299 3.0678
Mg 3.4400 2.0894 5.6323
La 2.5834 5.0402 3.9805
La 0.0000 0.0000 0.0000
```

Uncorrected energy = -5.1609 eV/atom
Formation enthalpy at 0 K = -2.040 eV per formula unit

The following is a DFT calculation (GGA-PBE) of crystalline DyThTiAl at its relaxed geometry.

Cell and atoms, written as extended XYZ:
```
4
Lattice="-0.4088 0.3359 -5.1358 3.9600 -1.4012 -3.0020 -0.3146 -4.2930 -2.8509" Properties=species:S:1:pos:R:3 pbc="T T T"
Th 1.6183 -2.6792 -5.4944
Ti 0.8092 -1.3396 -2.7472
Dy 0.0000 0.0000 0.0000
Al 2.4275 -4.0187 -8.2416
```

Uncorrected energy = -5.9106 eV/atom
Formation enthalpy at 0 K = 0.017 eV per formula unit

What is the formula in the first record? KSr2ZnCu